# TlWF4 PBE with a Hubbard U relaxed
# - Fermi-level density of states: 0.00 states/eV per atom
# - Spin magnetization: 3.00 μB/f.u.
# - Total energy: -5.162 eV/atom
data_TlWF4
_cell_length_a 4.248
_cell_length_b 4.240
_cell_length_c 7.117
_cell_angle_alpha 90.00
_cell_angle_beta 104.51
_cell_angle_gamma 90.00
_space_group_name_H-M_alt 'P 1 2/m 1'
_space_group_IT_number 10
loop_
_space_group_symop_operation_xyz
'x,y,z'
'-x,-y,-z'
'-x,y,-z'
'x,-y,z'
loop_
_atom_site_label
_atom_site_type_symbol
_atom_site_fract_x
_atom_site_fract_y
_atom_site_fract_z
Tl1 Tl 0.000 0.000 0.000
W1 W 0.500 0.500 0.500
F1 F 0.000 0.500 0.500
F2 F 0.356 0.500 0.195
F3 F 0.500 0.000 0.500